# Ac2HoCoO6 GGA+U optimized geometry
data_Ac2HoCoO6
_chemical_formula_sum 'Ac4 Ho2 Co2 O12'
_space_group_name_H-M_alt 'P 1 21/c 1'
_space_group_IT_number 14
_space_group_name_Hall '-P 2ybc'
_cell_length_a 5.809
_cell_length_b 5.780
_cell_length_c 9.984
_cell_angle_alpha 90.00
_cell_angle_beta 124.91
_cell_angle_gamma 90.00
loop_
_atom_site_label
_atom_site_fract_x
_atom_site_fract_y
_atom_site_fract_z
Ac1 0.240 0.026 0.248
Ho1 0.500 0.000 0.000
Co1 0.000 0.000 0.500
O1 0.167 0.236 0.960
O2 0.221 0.710 0.961
O3 0.307 0.013 0.734
# - VASP energy (eV for the cell shown) = -151.2
# - Fermi-level density of states (states/eV/cell) = 0.00